Material: U4SiAs
Method: DFT, PBE
State: optimized geometry

The structure belongs to space group C2/c (No. 15); the cell edges are 8.568, 5.405 and 10.285 Å and the angles 90.00°, 93.63° and 90.00°. The inequivalent atoms are U at (0.105, 0.243, 0.017), U at (0.146, 0.474, 0.234), Si at (0.000, 0.029, 0.750) and As at (0.250, 0.250, 0.500).

The value obtained for the total energy is -9.616 eV per atom. For the formation energy without anion corrections, the calculation gives -0.412 eV/atom. The calculation puts the density of states at the Fermi level at 42.77 states/eV per cell.